# 1
The following is a DFT calculation (GGA-PBE) of an optimized crystal structure of Ce2PPt2Rh4.

energy relative to the elements = -8.0 eV/f.u.
E = -7.419 eV/atom

CIF file:
```
data_Ce2PPt2Rh4
_cell_length_a 6.041
_cell_length_b 6.041
_cell_length_c 6.041
_cell_angle_alpha 90.80
_cell_angle_beta 119.54
_cell_angle_gamma 119.54
_space_group_name_H-M_alt 'P 1'
_space_group_IT_number 1
_space_group_name_Hall 'P 1'
loop_
_atom_site_label
_atom_site_type_symbol
_atom_site_fract_x
_atom_site_fract_y
_atom_site_fract_z
_atom_site_occupancy
Ce1 Ce 0.500 0.750 0.250 1
Ce2 Ce 0.500 0.250 0.750 1
P1 P 0.000 0.000 0.000 1
Pt1 Pt 0.000 0.728 0.728 1
Pt2 Pt 0.000 0.272 0.272 1
Rh1 Rh 0.000 0.737 0.263 1
Rh2 Rh 0.475 0.737 0.737 1
Rh3 Rh 0.000 0.263 0.737 1
Rh4 Rh 0.525 0.263 0.263 1
```

# 2
The following is a DFT calculation (GGA-PBE) of an optimized crystal structure of Ce2P3PtRh4.

energy relative to the elements = -9.9 eV/f.u.
E = -7.343 eV/atom

CIF file:
```
data_Ce2P3PtRh4
_cell_length_a 3.932
_cell_length_b 3.932
_cell_length_c 10.960
_cell_angle_alpha 90.00
_cell_angle_beta 90.00
_cell_angle_gamma 90.00
_space_group_name_H-M_alt 'P 1'
_space_group_IT_number 1
_space_group_name_Hall 'P 1'
loop_
_atom_site_label
_atom_site_type_symbol
_atom_site_fract_x
_atom_site_fract_y
_atom_site_fract_z
_atom_site_occupancy
Ce1 Ce 0.500 0.000 0.257 1
Ce2 Ce 0.000 0.500 0.743 1
P1 P 0.000 0.000 0.500 1
P2 P 0.500 0.000 0.877 1
P3 P 0.000 0.500 0.123 1
Pt1 Pt 0.500 0.500 0.500 1
Rh1 Rh 0.500 0.500 0.000 1
Rh2 Rh 0.000 0.000 0.000 1
Rh3 Rh 0.500 0.000 0.671 1
Rh4 Rh 0.000 0.500 0.329 1
```

# 3
The following is a DFT calculation (GGA-PBE) of an optimized crystal structure of Ce2P4PtRh3.

energy relative to the elements = -10.9 eV/f.u.
E = -7.248 eV/atom

CIF file:
```
data_Ce2P4PtRh3
_cell_length_a 4.211
_cell_length_b 4.211
_cell_length_c 9.453
_cell_angle_alpha 90.00
_cell_angle_beta 90.00
_cell_angle_gamma 90.00
_space_group_name_H-M_alt 'P 1'
_space_group_IT_number 1
_space_group_name_Hall 'P 1'
loop_
_atom_site_label
_atom_site_type_symbol
_atom_site_fract_x
_atom_site_fract_y
_atom_site_fract_z
_atom_site_occupancy
Ce1 Ce 0.500 0.000 0.242 1
Ce2 Ce 0.000 0.500 0.758 1
P1 P 0.500 0.500 0.000 1
P2 P 0.000 0.000 0.000 1
P3 P 0.500 0.000 0.639 1
P4 P 0.000 0.500 0.361 1
Pt1 Pt 0.500 0.500 0.500 1
Rh1 Rh 0.000 0.000 0.500 1
Rh2 Rh 0.500 0.000 0.888 1
Rh3 Rh 0.000 0.500 0.112 1
```

Which of these has the highest E?
Ce2P4PtRh3